LiEr3Si3 | GGA-PBE | relaxed

Values from the calculation:
Formation energy (no corrections) in meV per atom: -686
VASP energy in eV for the cell shown: -73.35
Symmetry: C2/m

Unit cell a=4.2190 b=5.6725 c=12.9229 alpha=84.20 beta=80.61 gamma=68.17
Fractional positions:
Li (0.7564, 0.0811, 0.4061)
Li (0.2436, 0.9189, 0.5939)
Er (0.5310, 0.3167, 0.6213)
Er (0.4690, 0.6833, 0.3787)
Er (0.2549, 0.2686, 0.2215)
Er (0.7451, 0.7314, 0.7785)
Er (0.3953, 0.2861, 0.9233)
Er (0.6047, 0.7139, 0.0767)
Si (0.8790, 0.6916, 0.5504)
Si (0.1210, 0.3084, 0.4496)
Si (0.1118, 0.8519, 0.9245)
Si (0.8882, 0.1481, 0.0755)
Si (0.9644, 0.8436, 0.2275)
Si (0.0356, 0.1564, 0.7725)

---

Pr3TmTl4Te8 | GGA-PBE | relaxed

Values from the calculation:
Formation energy (no corrections) in meV per atom: -1061
VASP energy in eV for the cell shown: -70.39
Symmetry: R-3m

Unit cell a=9.1111 b=9.7243 c=9.1109 alpha=117.94 beta=120.00 gamma=90.00
Fractional positions:
Pr (0.5000, 0.5000, 0.0000)
Pr (0.5000, 0.5000, 0.5000)
Pr (0.0000, 0.5000, 0.5000)
Tm (0.0000, 0.5000, 0.0000)
Tl (0.5000, 0.0000, 0.0000)
Tl (0.5000, 0.0000, 0.5000)
Tl (0.0000, 0.0000, 0.0000)
Tl (0.0000, 0.0000, 0.5000)
Te (0.2335, 0.7173, 0.9838)
Te (0.2336, 0.7173, 0.4671)
Te (0.2588, 0.2763, 0.5175)
Te (0.7502, 0.7173, 0.9838)
Te (0.2498, 0.2827, 0.0162)
Te (0.7412, 0.7237, 0.4825)
Te (0.7664, 0.2827, 0.5329)
Te (0.7665, 0.2827, 0.0162)

---

Sr2BeAg | GGA-PBE | relaxed

Values from the calculation:
ΔH_f (0 K) in eV per atom: 0.01
VASP energy in eV for the cell shown: -9.89
Symmetry: R3m

Unit cell a=8.4707 b=8.4707 c=8.4707 alpha=29.67 beta=29.67 gamma=29.67
Fractional positions:
Sr (0.0374, 0.0374, 0.0374)
Sr (0.2126, 0.2126, 0.2126)
Ag (0.4583, 0.4583, 0.4583)
Be (0.7917, 0.7917, 0.7917)

---

Ho3TmCd2 | GGA-PBE | relaxed

Values from the calculation:
ΔH_f (0 K) in eV per atom: -0.21
VASP energy in eV for the cell shown: -42.62
Symmetry: Pmc2_1

Unit cell a=5.1913 b=6.8253 c=9.3460 alpha=90.00 beta=90.00 gamma=90.00
Fractional positions:
Ho (0.0000, 0.4814, 0.9568)
Ho (0.0000, 0.9814, 0.0432)
Ho (0.5000, 0.6813, 0.1786)
Ho (0.5000, 0.1813, 0.8214)
Ho (0.0000, 0.3183, 0.3237)
Ho (0.0000, 0.8183, 0.6763)
Tm (0.5000, 0.5187, 0.5430)
Tm (0.5000, 0.0187, 0.4570)
Cd (0.5000, 0.7245, 0.8496)
Cd (0.5000, 0.2245, 0.1504)
Cd (0.0000, 0.2758, 0.6497)
Cd (0.0000, 0.7758, 0.3503)

---

Zn2CuBr | GGA-PBE | relaxed

Values from the calculation:
Formation energy (no corrections) in meV per atom: -47
VASP energy in eV for the cell shown: -8.50
Symmetry: C2/m

Unit cell a=4.4077 b=4.4077 c=8.7119 alpha=46.00 beta=46.00 gamma=59.95
Fractional positions:
Br (0.7500, 0.7500, 0.7500)
Cu (0.2500, 0.2500, 0.2500)
Zn (0.9143, 0.9143, 0.2526)
Zn (0.5857, 0.5857, 0.2474)

---

BaZnCd | GGA-PBE | relaxed

Values from the calculation:
ΔH_f (0 K) in eV per atom: -0.14
VASP energy in eV for the cell shown: -4.53
Symmetry: I4mm

Unit cell a=6.3462 b=6.3450 c=4.0258 alpha=71.52 beta=71.49 gamma=36.99
Fractional positions:
Ba (0.0026, 0.0026, 0.9974)
Cd (0.3061, 0.3061, 0.6939)
Zn (0.6913, 0.6913, 0.3087)

---

BaNbSi2S8 | GGA-PBE | relaxed

Values from the calculation:
Formation energy (no corrections) in meV per atom: -786
VASP energy in eV for the cell shown: -65.29
Symmetry: P-3

Unit cell a=6.1113 b=6.1113 c=8.6642 alpha=90.00 beta=90.00 gamma=120.00
Each line ends with the local moment (μB).
Fractional positions:
Ba (0.0000, 0.0000, 0.0000)  0.00
Nb (0.0000, 0.0000, 0.5000)  -0.03
Si (0.6667, 0.3333, 0.2680)  0.00
Si (0.3333, 0.6667, 0.7320)  0.00
S (0.3333, 0.6667, 0.9751)  0.17
S (0.3254, 0.3288, 0.3335)  0.03
S (0.6712, 0.9967, 0.3335)  0.03
S (0.6667, 0.3333, 0.0249)  0.17
S (0.3288, 0.0033, 0.6665)  0.03
S (0.6746, 0.6712, 0.6665)  0.03
S (0.9967, 0.3254, 0.6665)  0.03
S (0.0033, 0.6746, 0.3335)  0.03

---

Li6Mg3Hg2 | GGA-PBE | relaxed

Values from the calculation:
ΔH_f (0 K) in eV per atom: -0.13
VASP energy in eV for the cell shown: -18.29
Symmetry: Cmmm

Unit cell a=3.1046 b=8.7130 c=8.7123 alpha=66.23 beta=90.00 gamma=90.00
Fractional positions:
Li (0.5000, 0.4113, 0.4115)
Li (0.5000, 0.5887, 0.5885)
Li (0.5000, 0.0824, 0.6030)
Li (0.5000, 0.9176, 0.3970)
Li (0.5000, 0.6029, 0.0824)
Li (0.5000, 0.3971, 0.9176)
Mg (0.0000, 0.2319, 0.2318)
Mg (0.0000, 0.7681, 0.7682)
Mg (0.5000, 0.0000, 0.0000)
Hg (0.0000, 0.2782, 0.7219)
Hg (0.0000, 0.7218, 0.2781)

---

Q: Which of these has the lowest VASP energy?
A: LiEr3Si3

---

Repeat the first record exactly.
LiEr3Si3 | GGA-PBE | relaxed

Values from the calculation:
Formation energy (no corrections) in meV per atom: -686
VASP energy in eV for the cell shown: -73.35
Symmetry: C2/m

Unit cell a=4.2190 b=5.6725 c=12.9229 alpha=84.20 beta=80.61 gamma=68.17
Fractional positions:
Li (0.7564, 0.0811, 0.4061)
Li (0.2436, 0.9189, 0.5939)
Er (0.5310, 0.3167, 0.6213)
Er (0.4690, 0.6833, 0.3787)
Er (0.2549, 0.2686, 0.2215)
Er (0.7451, 0.7314, 0.7785)
Er (0.3953, 0.2861, 0.9233)
Er (0.6047, 0.7139, 0.0767)
Si (0.8790, 0.6916, 0.5504)
Si (0.1210, 0.3084, 0.4496)
Si (0.1118, 0.8519, 0.9245)
Si (0.8882, 0.1481, 0.0755)
Si (0.9644, 0.8436, 0.2275)
Si (0.0356, 0.1564, 0.7725)

---

Q: Number 3 is which compound?
A: Sr2BeAg